Material: BeP2Au
Method: DFT, GGA-PBE
State: relaxed

Its final energy is -3.976 eV/atom.

The space group is Cmmm (No. 65) and the conventional cell measures 4.798, 7.041 and 3.594 Å, with angles of 90.00, 90.00 and 90.00 degrees. Symmetry generates all atoms from Be at (0.000, 0.000, 0.000), P at (0.250, 0.250, 0.500) and Au at (0.000, 0.500, 0.000).


Material: BeP2Au
Method: DFT, GGA-PBE
State: relaxed

Its final energy is -4.047 eV/atom.

The space group is Pmm2 (No. 25) and the conventional cell measures 2.657, 3.237 and 6.943 Å, with angles of 90.00, 90.00 and 90.00 degrees. Symmetry generates all atoms from Be at (0.000, 0.000, 0.000), P at (0.000, 0.000, 0.486), P at (0.500, 0.500, 0.150) and Au at (0.500, 0.500, 0.758).


Material: BeP2Au
Method: DFT, GGA-PBE
State: relaxed

Its final energy is -4.027 eV/atom.

The space group is Cmm2 (No. 35) and the conventional cell measures 3.076, 4.873 and 7.772 Å, with angles of 90.00, 90.00 and 90.00 degrees. Symmetry generates all atoms from Be at (0.000, 0.000, 0.000), P at (0.000, 0.000, 0.551), P at (0.000, 0.500, 0.789) and Au at (0.000, 0.500, 0.230).


Material: BePAu3
Method: DFT, GGA-PBE
State: relaxed

Its energy above the most stable polymorph in this dataset is 0.0000 eV/atom. Its final energy is -3.305 eV/atom.

The space group is Pm-3m (No. 221) and the conventional cell measures 4.441, 4.441 and 4.441 Å, with angles of 90.00, 90.00 and 90.00 degrees. Symmetry generates all atoms from Be at (0.000, 0.000, 0.000), P at (0.500, 0.500, 0.500) and Au at (0.000, 0.000, 0.500).